# VP3Cl, relaxed, DFT PBE
# Polymorph energy (0 for the lowest one) ... 103.9 kJ per mole of atoms
# ΔE_f (raw) ... 6.5 eV per formula unit
# Theoretical density ... 3.29 g/cm³
data_VP3Cl
_space_group_name_H-M_alt 'P m -3 m'
_space_group_IT_number 221
_space_group_name_Hall '-P 4 2 3'
_cell_length_a 4.4918
_cell_length_b 4.4918
_cell_length_c 4.4918
_cell_angle_alpha 90.00
_cell_angle_beta 90.00
_cell_angle_gamma 90.00
loop_
_atom_site_label
_atom_site_type_symbol
_atom_site_fract_x
_atom_site_fract_y
_atom_site_fract_z
_atom_site_occupancy
V1 V 0.0000 0.0000 0.0000 1
P1 P 0.0000 0.5000 0.5000 1
Cl1 Cl 0.5000 0.5000 0.5000 1